Record 1
Below is crystalline PmNp2F8 at its relaxed geometry, with properties calculated at the PBE-GGA level.

Unit cell a=6.8307 b=6.8307 c=6.8307 alpha=146.91 beta=120.79 gamma=69.53
Fractional coordinates of all 11 atoms:
Pm  0.0000  0.0000  0.0000
Np  0.3192  0.3192  0.0000
Np  0.6808  0.6808  0.0000
F  0.1115  0.8418  0.2697
F  0.1367  0.6367  0.5000
F  0.3068  0.5000  0.8068
F  0.4279  0.1582  0.2697
F  0.5721  0.8418  0.7303
F  0.6932  0.5000  0.1932
F  0.8633  0.3633  0.5000
F  0.8885  0.1582  0.7303

Properties
**Raw formation energy**: -3.41 eV/atom
**Crystal system**: orthorhombic
**Space-group type**: Immm (71)
**Magnetic moment**: 9.00 μB per formula unit



Record 2
Below is crystalline Ac3MgC2N6 at its relaxed geometry, with properties calculated at the PBE-GGA level.

Unit cell a=5.4743 b=5.4743 c=6.9265 alpha=90.00 beta=90.00 gamma=120.00
Fractional coordinates of all 12 atoms:
Ac  0.0000  0.0000  0.0000
Ac  0.3333  0.6667  0.6754
Ac  0.6667  0.3333  0.3246
Mg  0.0000  0.0000  0.5000
C  0.3333  0.6667  0.2854
C  0.6667  0.3333  0.7146
N  0.1875  0.3749  0.2939
N  0.1875  0.8125  0.2939
N  0.3749  0.1875  0.7061
N  0.6251  0.8125  0.2939
N  0.8125  0.1875  0.7061
N  0.8125  0.6251  0.7061

Properties
**Raw formation energy**: -0.74 eV/atom
**Crystal system**: trigonal
**Space-group type**: P-3m1 (164)
**Magnetic moment**: 0.00 μB per formula unit



Record 3
Below is crystalline La4Dy15Er at its relaxed geometry, with properties calculated at the PBE-GGA level.

Unit cell a=5.0784 b=5.0784 c=25.2639 alpha=90.00 beta=90.00 gamma=90.00
Fractional coordinates of all 20 atoms:
La  0.0000  0.0000  0.1006
La  0.0000  0.0000  0.3005
La  0.0000  0.0000  0.6995
La  0.0000  0.0000  0.8994
Dy  0.0000  0.5000  0.0000
Dy  0.0000  0.5000  0.2010
Dy  0.0000  0.5000  0.4026
Dy  0.0000  0.5000  0.5974
Dy  0.0000  0.5000  0.7990
Dy  0.5000  0.0000  0.0000
Dy  0.5000  0.0000  0.2010
Dy  0.5000  0.0000  0.4026
Dy  0.5000  0.0000  0.5974
Dy  0.5000  0.0000  0.7990
Dy  0.5000  0.5000  0.1004
Dy  0.5000  0.5000  0.3019
Dy  0.5000  0.5000  0.5000
Dy  0.5000  0.5000  0.6981
Dy  0.5000  0.5000  0.8996
Er  0.0000  0.0000  0.5000

Properties
**Crystal system**: tetragonal
**Space-group type**: P4/mmm (123)
**Magnetic moment**: 0.00 μB per formula unit
**ΔE_f**: 0.029 eV/atom



Record 4
Below is crystalline NbCd3Br at its relaxed geometry, with properties calculated at the PBE-GGA level.

Unit cell a=5.4280 b=5.4280 c=5.4280 alpha=90.00 beta=90.00 gamma=90.00
Fractional coordinates of all 5 atoms:
Nb  0.0000  0.0000  0.0000
Cd  0.0000  0.5000  0.5000
Cd  0.5000  0.0000  0.5000
Cd  0.5000  0.5000  0.0000
Br  0.5000  0.5000  0.5000

Properties
**Raw formation energy**: 1.22 eV/atom
**Crystal system**: cubic
**Space-group type**: Pm-3m (221)
**Magnetic moment**: 3.69 μB per formula unit
**Distance to the lowest polymorph of the same formula**: 0.458 eV per atom



Record 5
Below is crystalline HoCu2Se3 at its relaxed geometry, with properties calculated at the PBE-GGA level.

Unit cell a=6.4987 b=3.9392 c=10.6530 alpha=90.00 beta=94.56 gamma=90.00
Fractional coordinates of all 12 atoms:
Ho  0.1820  0.2500  0.3222
Ho  0.8180  0.7500  0.6778
Cu  0.0523  0.7500  0.0888
Cu  0.4414  0.2500  0.5809
Cu  0.5586  0.7500  0.4191
Cu  0.9477  0.2500  0.9112
Se  0.1434  0.7500  0.8706
Se  0.2200  0.7500  0.5350
Se  0.4028  0.7500  0.2042
Se  0.5972  0.2500  0.7958
Se  0.7800  0.2500  0.4650
Se  0.8566  0.2500  0.1294

Properties
**Raw formation energy**: -0.79 eV/atom
**Crystal system**: monoclinic
**Space-group type**: P2_1/m (11)
**Magnetic moment**: 0.00 μB per formula unit



Record 6
Below is crystalline PbAuI2 at its relaxed geometry, with properties calculated at the PBE-GGA level.

Unit cell a=5.5939 b=5.5939 c=5.5939 alpha=60.00 beta=60.00 gamma=60.00
Fractional coordinates of all 4 atoms:
Pb  0.0000  0.0000  0.0000
Au  0.5000  0.5000  0.5000
I  0.2500  0.2500  0.2500
I  0.7500  0.7500  0.7500

Properties
**Raw formation energy**: 0.06 eV/atom
**Crystal system**: cubic
**Space-group type**: Fm-3m (225)
**Magnetic moment**: 0.00 μB per formula unit
**Distance to the lowest polymorph of the same formula**: 0.020 eV per atom



Record 7
Below is crystalline Dy4CdIn2Ag at its relaxed geometry, with properties calculated at the PBE-GGA level.

Unit cell a=9.1409 b=9.1409 c=9.1409 alpha=33.53 beta=33.53 gamma=33.53
Fractional coordinates of all 8 atoms:
Dy  0.1228  0.1228  0.1228
Dy  0.3731  0.3731  0.3731
Dy  0.6269  0.6269  0.6269
Dy  0.8772  0.8772  0.8772
Cd  0.5000  0.5000  0.5000
In  0.2489  0.2489  0.2489
In  0.7511  0.7511  0.7511
Ag  0.0000  0.0000  0.0000

Properties
**Crystal system**: trigonal
**Space-group type**: R-3m (166)
**Magnetic moment**: 0.00 μB per formula unit
**ΔE_f**: -0.402 eV/atom



Record 8
Below is crystalline YBO at its relaxed geometry, with properties calculated at the PBE-GGA level.

Unit cell a=7.6997 b=7.6997 c=7.6997 alpha=25.95 beta=25.95 gamma=25.95
Fractional coordinates of all 6 atoms:
Y  0.0000  0.0000  0.0000
Y  0.4740  0.4740  0.4740
B  0.2243  0.2243  0.2243
B  0.8722  0.8722  0.8722
O  0.2932  0.2932  0.2932
O  0.7261  0.7261  0.7261

Properties
**Raw formation energy**: -1.75 eV/atom
**Crystal system**: trigonal
**Space-group type**: R3m (160)
**Magnetic moment**: 0.00 μB per formula unit
**Distance to the lowest polymorph of the same formula**: 0.129 eV per atom



Record 9
Below is crystalline MnZn2Ge at its relaxed geometry, with properties calculated at the PBE-GGA level.

Unit cell a=5.7931 b=5.7931 c=5.7931 alpha=100.94 beta=100.94 gamma=128.36
Fractional coordinates of all 8 atoms:
Mn  0.0000  0.0000  0.0000
Mn  0.7500  0.2500  0.5000
Zn  0.1373  0.6250  0.0123
Zn  0.3750  0.3873  0.5123
Zn  0.6127  0.1250  0.9877
Zn  0.8750  0.8627  0.4877
Ge  0.2500  0.7500  0.5000
Ge  0.5000  0.5000  0.0000

Properties
**Crystal system**: tetragonal
**Space-group type**: I-42d (122)
**Magnetic moment**: 3.20 μB per formula unit
**ΔE_f**: 0.278 eV/atom



Record 10
Below is crystalline KBa2Se at its relaxed geometry, with properties calculated at the PBE-GGA level.

Unit cell a=8.5110 b=8.5110 c=8.5110 alpha=105.11 beta=105.11 gamma=118.59
Fractional coordinates of all 8 atoms:
K  0.0000  0.0000  0.0000
K  0.7500  0.2500  0.5000
Ba  0.2299  0.6250  0.1049
Ba  0.3750  0.4799  0.6049
Ba  0.5201  0.1250  0.8951
Ba  0.8750  0.7701  0.3951
Se  0.2500  0.7500  0.5000
Se  0.5000  0.5000  0.0000

Properties
**Raw formation energy**: -0.73 eV/atom
**Crystal system**: tetragonal
**Space-group type**: I-42d (122)
**Magnetic moment**: 0.00 μB per formula unit



Record 11
Below is crystalline ZnIn2Cu at its relaxed geometry, with properties calculated at the PBE-GGA level.

Unit cell a=5.1547 b=5.1547 c=5.1547 alpha=130.43 beta=130.43 gamma=72.72
Fractional coordinates of all 4 atoms:
Zn  0.0000  0.0000  0.0000
In  0.2500  0.7500  0.5000
In  0.7500  0.2500  0.5000
Cu  0.5000  0.5000  0.0000

Properties
**Crystal system**: tetragonal
**Space-group type**: I4/mmm (139)
**Magnetic moment**: 0.00 μB per formula unit
**ΔE_f**: 0.164 eV/atom



Record 12
Below is crystalline Li3CdS at its relaxed geometry, with properties calculated at the PBE-GGA level.

Unit cell a=4.6665 b=4.6665 c=4.6665 alpha=90.00 beta=90.00 gamma=90.00
Fractional coordinates of all 5 atoms:
Li  0.0000  0.0000  0.5000
Li  0.0000  0.5000  0.0000
Li  0.5000  0.0000  0.0000
Cd  0.5000  0.5000  0.5000
S  0.0000  0.0000  0.0000

Properties
**Raw formation energy**: -0.65 eV/atom
**Crystal system**: cubic
**Space-group type**: Pm-3m (221)
**Magnetic moment**: 0.00 μB per formula unit
**Distance to the lowest polymorph of the same formula**: 0.000 eV per atom



Record 13
Below is crystalline Nd5ThMg4 at its relaxed geometry, with properties calculated at the PBE-GGA level.

Unit cell a=3.7924 b=3.7924 c=21.0350 alpha=90.00 beta=90.00 gamma=90.00
Fractional coordinates of all 10 atoms:
Nd  0.0000  0.0000  0.0000
Nd  0.0000  0.0000  0.1886
Nd  0.0000  0.0000  0.3895
Nd  0.0000  0.0000  0.6105
Nd  0.0000  0.0000  0.8114
Th  0.5000  0.5000  0.5000
Mg  0.5000  0.5000  0.0945
Mg  0.5000  0.5000  0.2872
Mg  0.5000  0.5000  0.7128
Mg  0.5000  0.5000  0.9055

Properties
**Crystal system**: tetragonal
**Space-group type**: P4/mmm (123)
**Magnetic moment**: 0.00 μB per formula unit
**ΔE_f**: -0.066 eV/atom



Record 14
Below is crystalline ZrAl2Pt at its relaxed geometry, with properties calculated at the PBE-GGA level.

Unit cell a=4.6168 b=4.6168 c=4.6168 alpha=60.00 beta=60.00 gamma=60.00
Fractional coordinates of all 4 atoms:
Zr  0.0000  0.0000  0.0000
Al  0.2500  0.2500  0.2500
Al  0.5000  0.5000  0.5000
Pt  0.7500  0.7500  0.7500

Properties
**Crystal system**: cubic
**Space-group type**: F-43m (216)
**Magnetic moment**: 0.00 μB per formula unit
**ΔE_f**: -0.575 eV/atom



Record 15
Below is crystalline NaTcHg2O4 at its relaxed geometry, with properties calculated at the PBE-GGA level.

Unit cell a=6.5697 b=6.5697 c=6.5697 alpha=118.84 beta=118.84 gamma=92.03
Fractional coordinates of all 8 atoms:
Na  0.0000  0.0000  0.0000
Tc  0.2500  0.7500  0.5000
Hg  0.5000  0.5000  0.0000
Hg  0.7500  0.2500  0.5000
O  0.1379  0.8524  0.7106
O  0.1418  0.4273  0.2894
O  0.1476  0.8582  0.2854
O  0.5727  0.8621  0.7146

Properties
**Raw formation energy**: -1.18 eV/atom
**Crystal system**: tetragonal
**Space-group type**: I-4 (82)
**Magnetic moment**: 0.00 μB per formula unit



Record 16
Below is crystalline LiBeIr3 at its relaxed geometry, with properties calculated at the PBE-GGA level.

Unit cell a=4.1352 b=4.1352 c=4.1352 alpha=90.00 beta=90.00 gamma=90.00
Fractional coordinates of all 5 atoms:
Li  0.0000  0.0000  0.0000
Be  0.5000  0.5000  0.5000
Ir  0.0000  0.5000  0.5000
Ir  0.5000  0.0000  0.5000
Ir  0.5000  0.5000  0.0000

Properties
**Crystal system**: cubic
**Space-group type**: Pm-3m (221)
**Magnetic moment**: 0.00 μB per formula unit
**Distance to the lowest polymorph of the same formula**: 0.000 eV per atom
**ΔE_f**: 0.330 eV/atom



Record 17
Below is crystalline NdGdCo at its relaxed geometry, with properties calculated at the PBE-GGA level.

Unit cell a=4.7807 b=4.7807 c=4.7807 alpha=60.00 beta=60.00 gamma=60.00
Fractional coordinates of all 3 atoms:
Nd  0.0000  0.0000  0.0000
Gd  0.5000  0.5000  0.5000
Co  0.7500  0.7500  0.7500

Properties
**Crystal system**: cubic
**Space-group type**: F-43m (216)
**Magnetic moment**: 7.28 μB per formula unit
**Distance to the lowest polymorph of the same formula**: 0.040 eV per atom
**ΔE_f**: 0.009 eV/atom



Record 18
Below is crystalline KH2AuO2 at its relaxed geometry, with properties calculated at the PBE-GGA level.

Unit cell a=5.1394 b=4.6592 c=8.2042 alpha=90.00 beta=103.06 gamma=90.00
Fractional coordinates of all 12 atoms:
K  0.2073  0.2500  0.3104
K  0.7927  0.7500  0.6896
H  0.2525  0.2500  0.6368
H  0.2814  0.7500  0.6729
H  0.7186  0.2500  0.3271
H  0.7475  0.7500  0.3632
Au  0.4333  0.2500  0.9032
Au  0.5667  0.7500  0.0968
O  0.2872  0.0035  0.6781
O  0.2872  0.4965  0.6781
O  0.7128  0.5035  0.3219
O  0.7128  0.9965  0.3219

Properties
**Crystal system**: monoclinic
**Final energy**: -4.17 eV/atom
**Space-group type**: P2_1/m (11)
**Magnetic moment**: 0.00 μB per formula unit



Record 19
Below is crystalline YMgSc2Fe at its relaxed geometry, with properties calculated at the PBE-GGA level.

Unit cell a=4.8832 b=4.8832 c=5.1981 alpha=90.00 beta=90.00 gamma=90.00
Fractional coordinates of all 5 atoms:
Y  0.0000  0.0000  0.0000
Mg  0.5000  0.5000  0.0000
Sc  0.0000  0.5000  0.5000
Sc  0.5000  0.0000  0.5000
Fe  0.0000  0.0000  0.5000

Properties
**Crystal system**: tetragonal
**Space-group type**: P4/mmm (123)
**Magnetic moment**: 0.00 μB per formula unit
**Distance to the lowest polymorph of the same formula**: 0.013 eV per atom
**ΔE_f**: 0.055 eV/atom



Record 20
Below is crystalline Ti2NiH4 at its relaxed geometry, with properties calculated at the PBE-GGA level.

Unit cell a=5.0592 b=3.9657 c=6.0615 alpha=90.00 beta=111.73 gamma=90.00
Fractional coordinates of all 14 atoms:
Ti  0.1869  0.2500  0.4090
Ti  0.2056  0.2500  0.9399
Ti  0.7944  0.7500  0.0601
Ti  0.8131  0.7500  0.5910
Ni  0.3430  0.7500  0.7002
Ni  0.6570  0.2500  0.2998
H  0.0686  0.7500  0.9068
H  0.0925  0.7500  0.4130
H  0.3993  0.5119  0.2395
H  0.3993  0.9881  0.2395
H  0.6007  0.0119  0.7605
H  0.6007  0.4881  0.7605
H  0.9075  0.2500  0.5870
H  0.9314  0.2500  0.0932

Properties
**Crystal system**: monoclinic
**Final energy**: -5.25 eV/atom
**Space-group type**: P2_1/m (11)
**Magnetic moment**: 0.00 μB per formula unit



Record 21
Below is crystalline ZrCuReBi at its relaxed geometry, with properties calculated at the PBE-GGA level.

Unit cell a=5.0399 b=5.0399 c=4.8439 alpha=102.90 beta=102.90 gamma=39.76
Fractional coordinates of all 4 atoms:
Zr  0.0000  0.0000  0.0000
Cu  0.2487  0.2487  0.7851
Re  0.5141  0.5141  0.5674
Bi  0.7705  0.7705  0.3395

Properties
**Crystal system**: monoclinic
**Space-group type**: Cm (8)
**Magnetic moment**: 0.00 μB per formula unit
**Distance to the lowest polymorph of the same formula**: 0.104 eV per atom
**ΔE_f**: 0.273 eV/atom



Record 22
Below is crystalline NaBe2P2 at its relaxed geometry, with properties calculated at the PBE-GGA level.

Unit cell a=5.2162 b=6.1528 c=6.1651 alpha=115.91 beta=104.90 gamma=100.89
Fractional coordinates of all 10 atoms:
Na  0.1188  0.3624  0.2881
Na  0.8812  0.6376  0.7119
Be  0.2771  0.3021  0.7927
Be  0.4991  0.0272  0.2376
Be  0.5009  0.9728  0.7624
Be  0.7229  0.6979  0.2073
P  0.1746  0.9311  0.4231
P  0.4470  0.6879  0.8755
P  0.5530  0.3121  0.1245
P  0.8254  0.0689  0.5769

Properties
**Crystal system**: triclinic
**Space-group type**: P-1 (2)
**Magnetic moment**: 0.00 μB per formula unit
**Distance to the lowest polymorph of the same formula**: 0.036 eV per atom
**ΔE_f**: -0.296 eV/atom



Record 23
Below is crystalline Pu2WN5 at its relaxed geometry, with properties calculated at the PBE-GGA level.

Unit cell a=5.9371 b=5.9371 c=10.5053 alpha=90.00 beta=90.00 gamma=139.95
Fractional coordinates of all 16 atoms:
Pu  0.1443  0.8557  0.5710
Pu  0.1443  0.8557  0.9290
Pu  0.8557  0.1443  0.0710
Pu  0.8557  0.1443  0.4290
W  0.1709  0.8291  0.2500
W  0.8291  0.1709  0.7500
N  0.0534  0.9466  0.1209
N  0.0534  0.9466  0.3791
N  0.2712  0.7288  0.7500
N  0.2966  0.7034  0.0766
N  0.2966  0.7034  0.4234
N  0.7034  0.2966  0.5766
N  0.7034  0.2966  0.9234
N  0.7288  0.2712  0.2500
N  0.9466  0.0534  0.6209
N  0.9466  0.0534  0.8791

Properties
**Raw formation energy**: -0.75 eV/atom
**Crystal system**: orthorhombic
**Space-group type**: Cmcm (63)
**Magnetic moment**: 7.00 μB per formula unit
**Distance to the lowest polymorph of the same formula**: 0.083 eV per atom



In order of appearance, density = 8.689, 7.513, 8.055, 5.296, 6.462, 8.827, 8.797, 4.990, 6.253, 2.802, 7.680, 2.701, 5.766, 8.120, 4.774, 13.917, 7.747, 4.687, 3.469, 4.658, 11.946, 2.120, 10.340 g/cm3.